# Dy2CrGaO6 GGA+U relaxed
data_Dy2CrGaO6
_cell_length_a 5.247
_cell_length_b 5.247
_cell_length_c 4.614
_cell_angle_alpha 90.00
_cell_angle_beta 90.00
_cell_angle_gamma 90.00
_symmetry_space_group_name_H-M 'P 4 m m'
_symmetry_Int_Tables_number 99
loop_
_symmetry_equiv_pos_as_xyz
'x,y,z'
'-y,x,z'
'-x,-y,z'
'y,-x,z'
'-x,y,z'
'y,x,z'
'x,-y,z'
'-y,-x,z'
loop_
_atom_site_label
_atom_site_type_symbol
_atom_site_fract_x
_atom_site_fract_y
_atom_site_fract_z
Dy1 Dy 0.000 0.500 0.000
Cr1 Cr 0.000 0.000 0.599
Ga1 Ga 0.500 0.500 0.573
O1 O 0.000 0.000 0.175
O2 O 0.253 0.253 0.711
O3 O 0.500 0.500 0.174
# - ρ (g/cm3) = 7.09
# - raw total energy (eV per cell) = -74.99
# - crystal system = tetragonal
# - calculated volume (A^3/atom) = 12.704